DFT (PBE with a Hubbard U) results for an optimized crystal structure of VZnBi2O6.

Lattice parameters (Å, degrees): 5.473 5.836 9.597 90.00 124.66 90.00
Space group P2_1/c (No. 14)
One atom of each set of equivalent atoms:
1 V 0.000 0.000 0.000 (multiplicity 2)
2 Zn 0.500 0.000 0.500 (multiplicity 2)
3 Bi 0.266 0.061 0.767 (multiplicity 4)
4 O 0.120 0.230 0.445 (multiplicity 4)
5 O 0.287 0.679 0.470 (multiplicity 4)
6 O 0.344 0.041 0.246 (multiplicity 4)

Computed properties:
Final energy   -121.96 eV/cell